# 1
Compound: Fe2BiMo
Source: OQMD
Functional: GGA-PBE
Structure: optimized geometry

a = 6.329 Å, b = 6.329 Å, c = 6.329 Å
α = 90.00°, β = 90.00°, γ = 90.00°
Atoms (fractional coordinates):
Fe  0.000  0.000  0.000
Fe  0.000  0.500  0.500
Fe  0.250  0.250  0.250
Fe  0.250  0.750  0.750
Fe  0.500  0.000  0.500
Fe  0.500  0.500  0.000
Fe  0.750  0.250  0.750
Fe  0.750  0.750  0.250
Bi  0.000  0.000  0.500
Bi  0.000  0.500  0.000
Bi  0.500  0.000  0.000
Bi  0.500  0.500  0.500
Mo  0.250  0.250  0.750
Mo  0.250  0.750  0.250
Mo  0.750  0.250  0.250
Mo  0.750  0.750  0.750

## Properties
Calculated total energy ... -116.44 eV for the cell shown
Mass density ... 10.9 Mg/m³
Total moment ... 17.62 μB/cell

---

# 2
Compound: NbFeBiMo
Source: OQMD
Functional: GGA-PBE
Structure: optimized geometry

a = 6.463 Å, b = 6.463 Å, c = 6.463 Å
α = 90.00°, β = 90.00°, γ = 90.00°
Atoms (fractional coordinates):
Nb  0.000  0.000  0.000
Nb  0.000  0.500  0.500
Nb  0.500  0.000  0.500
Nb  0.500  0.500  0.000
Fe  0.250  0.250  0.750
Fe  0.250  0.750  0.250
Fe  0.750  0.250  0.250
Fe  0.750  0.750  0.750
Bi  0.000  0.000  0.500
Bi  0.000  0.500  0.000
Bi  0.500  0.000  0.000
Bi  0.500  0.500  0.500
Mo  0.250  0.250  0.250
Mo  0.250  0.750  0.750
Mo  0.750  0.250  0.750
Mo  0.750  0.750  0.250

## Properties
Mass density ... 11.2 Mg/m³
Polymorph energy (0 for the lowest one) ... 0.000 eV/atom
Total moment ... 0.01 μB/cell

---

# 3
Compound: FeBiMoPd
Source: OQMD
Functional: GGA-PBE
Structure: optimized geometry

a = 6.472 Å, b = 6.472 Å, c = 6.472 Å
α = 90.00°, β = 90.00°, γ = 90.00°
Atoms (fractional coordinates):
Fe  0.000  0.000  0.000
Fe  0.000  0.500  0.500
Fe  0.500  0.000  0.500
Fe  0.500  0.500  0.000
Bi  0.250  0.250  0.750
Bi  0.250  0.750  0.250
Bi  0.750  0.250  0.250
Bi  0.750  0.750  0.750
Mo  0.000  0.000  0.500
Mo  0.000  0.500  0.000
Mo  0.500  0.000  0.000
Mo  0.500  0.500  0.500
Pd  0.250  0.250  0.250
Pd  0.250  0.750  0.750
Pd  0.750  0.250  0.750
Pd  0.750  0.750  0.250

## Properties
Mass density ... 11.4 Mg/m³
Polymorph energy (0 for the lowest one) ... 0.000 eV/atom
Total moment ... 6.75 μB/cell

---

# 4
Compound: FeBiMoPt
Source: OQMD
Functional: GGA-PBE
Structure: optimized geometry

a = 6.489 Å, b = 6.489 Å, c = 6.489 Å
α = 90.00°, β = 90.00°, γ = 90.00°
Atoms (fractional coordinates):
Fe  0.000  0.000  0.000
Fe  0.000  0.500  0.500
Fe  0.500  0.000  0.500
Fe  0.500  0.500  0.000
Bi  0.250  0.250  0.750
Bi  0.250  0.750  0.250
Bi  0.750  0.250  0.250
Bi  0.750  0.750  0.750
Mo  0.000  0.000  0.500
Mo  0.000  0.500  0.000
Mo  0.500  0.000  0.000
Mo  0.500  0.500  0.500
Pt  0.250  0.250  0.250
Pt  0.250  0.750  0.750
Pt  0.750  0.250  0.750
Pt  0.750  0.750  0.250

## Properties
Mass density ... 13.5 Mg/m³
Polymorph energy (0 for the lowest one) ... 0.000 eV/atom
Total moment ... 6.25 μB/cell

---

# 5
Compound: FeReBiMo
Source: OQMD
Functional: GGA-PBE
Structure: optimized geometry

a = 6.427 Å, b = 6.427 Å, c = 6.427 Å
α = 90.00°, β = 90.00°, γ = 90.00°
Atoms (fractional coordinates):
Fe  0.000  0.000  0.000
Fe  0.000  0.500  0.500
Fe  0.500  0.000  0.500
Fe  0.500  0.500  0.000
Re  0.250  0.250  0.250
Re  0.250  0.750  0.750
Re  0.750  0.250  0.750
Re  0.750  0.750  0.250
Bi  0.250  0.250  0.750
Bi  0.250  0.750  0.250
Bi  0.750  0.250  0.250
Bi  0.750  0.750  0.750
Mo  0.000  0.000  0.500
Mo  0.000  0.500  0.000
Mo  0.500  0.000  0.000
Mo  0.500  0.500  0.500

## Properties
Calculated total energy ... -130.35 eV for the cell shown
Mass density ... 13.7 Mg/m³
Total moment ... 11.40 μB/cell

---

# 6
Compound: ScFeBiMo
Source: OQMD
Functional: GGA-PBE
Structure: optimized geometry

a = 6.547 Å, b = 6.547 Å, c = 6.547 Å
α = 90.00°, β = 90.00°, γ = 90.00°
Atoms (fractional coordinates):
Sc  0.000  0.000  0.000
Sc  0.000  0.500  0.500
Sc  0.500  0.000  0.500
Sc  0.500  0.500  0.000
Fe  0.250  0.250  0.750
Fe  0.250  0.750  0.250
Fe  0.750  0.250  0.250
Fe  0.750  0.750  0.750
Bi  0.000  0.000  0.500
Bi  0.000  0.500  0.000
Bi  0.500  0.000  0.000
Bi  0.500  0.500  0.500
Mo  0.250  0.250  0.250
Mo  0.250  0.750  0.750
Mo  0.750  0.250  0.750
Mo  0.750  0.750  0.250

## Properties
Mass density ... 9.6 Mg/m³
Polymorph energy (0 for the lowest one) ... 0.000 eV/atom
Total moment ... 7.37 μB/cell

---

# 7
Compound: FeBiMoW
Source: OQMD
Functional: GGA-PBE
Structure: optimized geometry

a = 6.451 Å, b = 6.451 Å, c = 6.451 Å
α = 90.00°, β = 90.00°, γ = 90.00°
Atoms (fractional coordinates):
Fe  0.000  0.000  0.000
Fe  0.000  0.500  0.500
Fe  0.500  0.000  0.500
Fe  0.500  0.500  0.000
Bi  0.250  0.250  0.750
Bi  0.250  0.750  0.250
Bi  0.750  0.250  0.250
Bi  0.750  0.750  0.750
Mo  0.000  0.000  0.500
Mo  0.000  0.500  0.000
Mo  0.500  0.000  0.000
Mo  0.500  0.500  0.500
W  0.250  0.250  0.250
W  0.250  0.750  0.750
W  0.750  0.250  0.750
W  0.750  0.750  0.250

## Properties
Mass density ... 13.5 Mg/m³
Polymorph energy (0 for the lowest one) ... 0.000 eV/atom
Total moment ... 8.27 μB/cell

---

# 8
Compound: YFeBiMo
Source: OQMD
Functional: GGA-PBE
Structure: optimized geometry

a = 6.748 Å, b = 6.748 Å, c = 6.748 Å
α = 90.00°, β = 90.00°, γ = 90.00°
Atoms (fractional coordinates):
Y  0.000  0.000  0.000
Y  0.000  0.500  0.500
Y  0.500  0.000  0.500
Y  0.500  0.500  0.000
Fe  0.250  0.250  0.750
Fe  0.250  0.750  0.250
Fe  0.750  0.250  0.250
Fe  0.750  0.750  0.750
Bi  0.000  0.000  0.500
Bi  0.000  0.500  0.000
Bi  0.500  0.000  0.000
Bi  0.500  0.500  0.500
Mo  0.250  0.250  0.250
Mo  0.250  0.750  0.750
Mo  0.750  0.250  0.750
Mo  0.750  0.750  0.250

## Properties
Mass density ... 9.7 Mg/m³
Polymorph energy (0 for the lowest one) ... 0.000 eV/atom
Total moment ... 8.10 μB/cell